[1]
Nd4MgZn2Ag (PBE, relaxed); ΔH_f (0 K) = -0.24 eV/atom; space-group type = No. 166
1.0
-1.3617 5.0761 -0.6936
-3.4837 2.2817 3.2801
4.8920 4.9089 6.0644
Nd Mg Zn Ag
4 1 2 1
direct
0.6219 0.6219 0.1342 Nd
0.8727 0.8727 0.3818 Nd
0.3781 0.3781 0.8658 Nd
0.1273 0.1273 0.6182 Nd
0.0000 0.0000 0.0000 Mg
0.2566 0.2566 0.2301 Zn
0.7434 0.7434 0.7699 Zn
0.5000 0.5000 0.5000 Ag



[2]
MgZn2Ag2 (PBE, relaxed); ΔH_f (0 K) = -0.04 eV/atom; space-group type = No. 139; energy relative to the lowest polymorph listed for this composition = 64 meV per atom
1.0
-3.4479 1.1698 0.0654
-0.7411 -2.0199 -2.9379
-3.8135 -5.7199 2.6378
Ag Mg Zn
2 1 2
direct
0.3988 0.3988 0.2024 Ag
0.6012 0.6012 0.7976 Ag
0.0000 0.0000 0.0000 Mg
0.7500 0.2500 0.5000 Zn
0.2500 0.7500 0.5000 Zn



[3]
AsPC2 (PBE, relaxed); ΔH_f (0 K) = 0.76 eV/atom; space-group type = No. 1; energy relative to the lowest polymorph listed for this composition = 218 meV per atom
1.0
2.7632 -0.0002 -0.0111
-0.0003 3.7719 -0.0677
-1.3343 -1.9420 6.0215
C P As
2 1 1
direct
0.1783 0.5023 0.1844 C
0.1785 0.1517 0.1848 C
0.6548 0.8007 0.1365 P
0.4592 0.5887 0.7398 As



[4]
Pm6InHg5 (PBE, relaxed); ΔH_f (0 K) = -0.32 eV/atom; space-group type = No. 12; energy relative to the lowest polymorph listed for this composition = 153 meV per atom
1.0
9.3343 -0.6289 0.0000
2.0352 6.5635 0.0000
1.0176 3.2818 5.8265
Hg Pm In
5 6 1
direct
0.5000 0.5000 0.0000 Hg
0.0000 0.3000 0.3999 Hg
0.5000 0.1333 0.7334 Hg
0.0000 0.7000 0.6001 Hg
0.5000 0.8667 0.2666 Hg
0.7319 0.4341 0.6579 Pm
0.2220 0.2863 0.0000 Pm
0.2681 0.9080 0.6579 Pm
0.2681 0.5659 0.3421 Pm
0.7780 0.7137 0.0000 Pm
0.7319 0.0920 0.3421 Pm
0.0000 0.0000 0.0000 In



[5]
BeV2PdN (PBE, relaxed); space-group type = No. 123
1.0
-3.6266 -0.0750 -1.9989
-1.7387 -1.4284 3.2083
-0.7900 3.8560 1.2886
V Be N Pd
2 1 1 1
direct
0.0000 0.0000 0.5000 V
0.5000 0.0000 0.0000 V
0.0000 0.0000 0.0000 Be
0.5000 0.5000 0.5000 N
0.0000 0.5000 0.0000 Pd



[6]
Sm12Dy5Er2 (PBE, relaxed); ΔH_f (0 K) = 0.13 eV/atom; space-group type = No. 12; energy relative to the lowest polymorph listed for this composition = 31 meV per atom
1.0
10.4434 0.0000 0.0000
-5.2217 7.6407 -0.4018
0.0000 0.8196 7.9380
Er Sm Dy
2 12 5
direct
0.2621 0.0000 0.0000 Er
0.7379 0.0000 0.0000 Er
0.1380 0.2760 0.8891 Sm
0.4185 0.3777 0.2063 Sm
0.8322 0.2118 0.6130 Sm
0.1678 0.7882 0.3870 Sm
0.5815 0.6222 0.7937 Sm
0.0408 0.6222 0.7937 Sm
0.8620 0.7240 0.1109 Sm
0.6205 0.7882 0.3870 Sm
0.3795 0.2118 0.6130 Sm
0.5528 0.1057 0.2904 Sm
0.9592 0.3777 0.2063 Sm
0.4472 0.8943 0.7096 Sm
0.6540 0.3081 0.9107 Dy
0.3460 0.6919 0.0893 Dy
0.7567 0.5133 0.4861 Dy
0.2433 0.4867 0.5139 Dy
0.0000 0.0000 0.5000 Dy



[7]
Sr2Zn4AgGe3 (PBE, relaxed); ΔH_f (0 K) = -0.35 eV/atom; space-group type = No. 115
1.0
4.3445 0.0000 0.0000
0.0000 4.3445 0.0000
0.0000 0.0000 11.0600
Ge Ag Sr Zn
3 1 2 4
direct
0.0000 0.5000 0.1344 Ge
0.0000 0.0000 0.5000 Ge
0.5000 0.0000 0.8656 Ge
0.5000 0.5000 0.5000 Ag
0.5000 0.0000 0.2452 Sr
0.0000 0.5000 0.7548 Sr
0.0000 0.5000 0.3633 Zn
0.5000 0.5000 0.0000 Zn
0.5000 0.0000 0.6367 Zn
0.0000 0.0000 0.0000 Zn



[8]
Ce2TiNi (PBE, relaxed); ΔH_f (0 K) = 0.22 eV/atom; space-group type = No. 166
1.0
2.9669 0.0000 0.0000
1.4835 2.5694 0.0000
1.4835 0.8565 10.1723
Ti Ce Ni
1 2 1
direct
0.0000 0.0000 0.0000 Ti
0.0901 0.0901 0.7296 Ce
0.9099 0.9099 0.2704 Ce
0.5000 0.5000 0.5000 Ni



Number 1: DOS at the Fermi energy 7.5 states/eV/f.u., raw total energy -3.495 eV per atom, theoretical density 6.60 g cm⁻³. Number 2: DOS at the Fermi energy 1.6 states/eV/f.u., raw total energy -2.008 eV per atom, theoretical density 6.73 g cm⁻³. Number 3: DOS at the Fermi energy 0.5 states/eV/f.u., raw total energy -6.365 eV per atom, theoretical density 3.46 g cm⁻³. Number 4: DOS at the Fermi energy 15.4 states/eV/f.u., raw total energy -3.050 eV per atom, theoretical density 9.06 g cm⁻³. Number 5: DOS at the Fermi energy 5.6 states/eV/f.u., raw total energy -5.725 eV per atom, theoretical density 5.71 g cm⁻³. Number 6: DOS at the Fermi energy 26.4 states/eV/f.u., raw total energy -4.538 eV per atom, theoretical density 7.70 g cm⁻³. Number 7: DOS at the Fermi energy 2.5 states/eV/f.u., raw total energy -2.865 eV per atom, theoretical density 6.07 g cm⁻³. Number 8: DOS at the Fermi energy 6.9 states/eV/f.u., raw total energy -6.166 eV per atom, theoretical density 8.28 g cm⁻³.